Entry 1:
Material: La2DySc
Method: DFT, PBE
State: relaxed

POSCAR file:
```
La2DySc
1.0
1.798 1.038 11.390
-1.798 1.038 11.390
0.000 -2.076 11.390
La Dy Sc
2 1 1
Cartesian
0.000 0.000 8.433
0.000 0.000 25.736
0.000 0.000 0.000
0.000 0.000 17.084
```

Calculated values
Total moment in μB/f.u.: 0.00
Uncorrected energy in eV/atom: -5.15
Formation enthalpy at 0 K in eV per atom: 0.048
Symmetry: R-3m (166)
DOS at the Fermi energy in states/eV per atom: 1.27



Entry 2:
Material: Ba2BeIn
Method: DFT, PBE
State: relaxed

POSCAR file:
```
Ba2BeIn
1.0
0.000 4.012 4.012
4.012 0.000 4.012
4.012 4.012 0.000
Ba Be In
2 1 1
Cartesian
0.000 0.000 0.000
2.006 2.006 2.006
4.012 4.012 4.012
6.018 6.018 6.018
```

Calculated values
Total moment in μB/f.u.: 0.00
Uncorrected energy in eV/atom: -2.24
Formation enthalpy at 0 K in eV per atom: 0.337
Symmetry: F-43m (216)
DOS at the Fermi energy in states/eV per atom: 0.81



Entry 3:
Material: Sb2PdRh2
Method: DFT, PBE
State: relaxed

POSCAR file:
```
Sb2PdRh2
1.0
7.410 0.000 0.000
0.000 7.410 0.000
0.000 0.000 3.265
Sb Pd Rh
4 2 4
Cartesian
1.164 2.541 0.000
2.541 6.246 0.000
4.869 1.164 0.000
6.246 4.869 0.000
0.000 0.000 0.000
3.705 3.705 0.000
1.021 4.726 1.633
2.684 1.021 1.633
4.726 6.389 1.633
6.389 2.684 1.633
```

Calculated values
Total moment in μB/f.u.: 0.00
Energy relative to the elements, uncorrected in eV/atom: -0.27
Uncorrected energy in eV/atom: -5.90
Symmetry: P4/mbm (127)
DOS at the Fermi energy in states/eV per atom: 0.24



Entry 4:
Material: InHg2Sb
Method: DFT, PBE
State: relaxed

POSCAR file:
```
InHg2Sb
1.0
1.915 -2.733 0.000
1.915 2.733 0.000
0.000 0.000 10.175
In Hg Sb
1 2 1
Cartesian
0.000 0.000 0.000
1.915 0.000 2.533
1.915 0.000 7.642
0.000 0.000 5.087
```

Calculated values
Total moment in μB/f.u.: 0.00
Energy relative to the elements, uncorrected in eV/atom: 0.09
Uncorrected energy in eV/atom: -1.77
Symmetry: Cmmm (65)
DOS at the Fermi energy in states/eV per atom: 0.38